[1]
DFT (GGA-PBE) results for an optimized crystal structure of Tl2RePbO4.

abc: 5.904 5.904 5.904
angles: 108.84 109.79 109.79
Fractional positions:
Tl: 0.500 0.750 0.250
Tl: 0.000 0.000 0.000
O: 0.365 0.785 0.737
O: 0.049 0.263 0.628
O: 0.635 0.372 0.420
O: 0.951 0.580 0.215
Pb: 0.500 0.250 0.750
Re: 0.000 0.500 0.500

Formation energy (no corrections) in eV/atom: -0.936
Space group: I-4, No. 82
DOS(E_F) in states/eV/f.u.: 1.380


[2]
DFT (GGA-PBE) results for an optimized crystal structure of LiTl2TcO6.

abc: 5.531 5.590 8.203
angles: 90.00 91.46 90.00
Fractional positions:
Tl: 0.475 0.454 0.261
Tl: 0.525 0.546 0.739
Tl: 0.975 0.046 0.761
Tl: 0.025 0.954 0.239
O: 0.773 0.797 0.948
O: 0.688 0.270 0.927
O: 0.879 0.551 0.279
O: 0.812 0.770 0.573
O: 0.227 0.203 0.052
O: 0.312 0.730 0.073
O: 0.621 0.051 0.221
O: 0.273 0.703 0.448
O: 0.188 0.230 0.427
O: 0.121 0.449 0.721
O: 0.727 0.297 0.552
O: 0.379 0.949 0.779
Tc: 0.000 0.500 0.500
Tc: 0.500 0.000 0.000
Li: 0.000 0.500 0.000
Li: 0.500 0.000 0.500

Formation energy (no corrections) in eV/atom: -1.099
Space group: P2_1/c, No. 14
DOS(E_F) in states/eV/f.u.: 2.195


[3]
DFT (GGA-PBE) results for an optimized crystal structure of Ac19Ru6Pt4.

abc: 11.053 11.053 11.053
angles: 109.47 109.47 109.47
Fractional positions:
Ac: 0.000 0.300 0.300
Ac: 0.395 0.049 0.779
Ac: 0.221 0.270 0.617
Ac: 0.270 0.617 0.221
Ac: 0.700 0.700 0.000
Ac: 0.653 0.605 0.383
Ac: 0.730 0.951 0.347
Ac: 0.300 0.300 0.000
Ac: 0.700 0.000 0.700
Ac: 0.605 0.383 0.653
Ac: 0.951 0.347 0.730
Ac: 0.347 0.730 0.951
Ac: 0.300 0.000 0.300
Ac: 0.049 0.779 0.395
Ac: 0.779 0.395 0.049
Ac: 0.617 0.221 0.270
Ac: 0.000 0.000 0.000
Ac: 0.000 0.700 0.700
Ac: 0.383 0.653 0.605
Ru: 0.124 0.500 0.624
Ru: 0.876 0.500 0.376
Ru: 0.376 0.876 0.500
Ru: 0.500 0.624 0.124
Ru: 0.500 0.376 0.876
Ru: 0.624 0.124 0.500
Pt: 0.721 0.721 0.721
Pt: 0.000 0.000 0.279
Pt: 0.000 0.279 0.000
Pt: 0.279 0.000 0.000

Space group: I23, No. 197
DOS(E_F) in states/eV/f.u.: 19.114
Formation energy in eV/atom: -0.288


[4]
DFT (GGA-PBE) results for an optimized crystal structure of CaScCo2.

abc: 4.577 4.577 3.196
angles: 89.96 89.96 89.98
Fractional positions:
Sc: 0.500 0.000 0.500
Co: 0.000 0.000 0.000
Co: 0.500 0.500 0.000
Ca: 0.000 0.500 0.500

Space group: P4/mmm, No. 123
DOS(E_F) in states/eV/f.u.: 3.889
Energy relative to the lowest polymorph listed for this composition in eV/f.u.: 0.60
Formation energy in eV/atom: 0.150


[5]
DFT (GGA-PBE) results for an optimized crystal structure of HfMgZnO4.

abc: 6.073 6.191 6.191
angles: 61.30 60.63 60.63
Fractional positions:
O: 0.226 0.754 0.254
O: 0.764 0.755 0.718
O: 0.764 0.218 0.255
O: 0.766 0.754 0.254
O: 0.774 0.246 0.746
O: 0.236 0.782 0.745
O: 0.234 0.246 0.746
O: 0.236 0.245 0.282
Mg: 0.000 0.000 0.500
Mg: 0.500 0.000 0.500
Hf: 0.000 0.000 0.000
Hf: 0.000 0.500 0.500
Zn: 0.361 0.389 0.889
Zn: 0.639 0.611 0.111

Formation energy (no corrections) in eV/atom: -2.665
Space group: Imma, No. 74
DOS(E_F) in states/eV/f.u.: 0.000


[6]
DFT (GGA-PBE) results for an optimized crystal structure of Be2VRuPb.

abc: 4.214 4.964 4.214
angles: 90.00 90.00 90.00
Site moments in Bohr magnetons follow the coordinates.
Fractional positions:
Pb: 0.000 0.500 0.000  0.00
Be: 0.500 0.000 0.000  -0.01
Be: 0.000 0.000 0.500  -0.01
V: 0.000 0.000 0.000  -0.01
Ru: 0.500 0.500 0.500  0.72

Space group: P4/mmm, No. 123
DOS(E_F) in states/eV/f.u.: 4.346
Formation energy in eV/atom: 1.571